No. 1
## LiInRu3 (PBE)

Data for a geometry-optimized LiInRu3 structure.

abc: 4.957 4.957 4.957
angles: 90.00 90.00 90.00
Last column: magnetic moment on the atom in μB.
Positions (direct):
1 In 0.000 0.000 0.000  -0.06
2 Ru 0.500 0.000 0.000  1.45
3 Li 0.500 0.500 0.500  -0.02
4 Ru 0.000 0.500 0.000  1.90
5 Ru 0.000 0.000 0.500  2.13

The density of states at the Fermi level is 1.597 states/eV per atom. The calculation puts the energy relative to the elements at 1.876 eV/atom. The energy above the lowest structure with this stoichiometry is 4.88 eV/f.u.

No. 2
## ScAg2 (PBE)

Data for a geometry-optimized ScAg2 structure.

abc: 4.008 4.008 4.282
angles: 90.00 90.00 90.00
Last column: magnetic moment on the atom in μB.
Positions (direct):
1 Ag 0.500 0.000 0.500  0.01
2 Ag 0.000 0.500 0.500  0.01
3 Sc 0.000 0.000 0.000  0.12

The density of states at the Fermi level is 0.994 states/eV per atom. The calculation puts the energy relative to the elements at 0.196 eV/atom. The energy above the lowest structure with this stoichiometry is 1.47 eV/f.u.